The following is a DFT calculation (GGA-PBE) of an optimized crystal structure of RbBeNb.

The structure in CIF format:
```
data_RbBeNb
_symmetry_space_group_name_H-M 'P n m a'
_symmetry_Int_Tables_number 62
_cell_length_a 8.3074
_cell_length_b 2.7843
_cell_length_c 11.2446
_cell_angle_alpha 90.00
_cell_angle_beta 90.00
_cell_angle_gamma 90.00
loop_
_symmetry_equiv_pos_as_xyz
'x,y,z'
'-x,-y,-z'
'-x+1/2,-y,z+1/2'
'x+1/2,y,-z+1/2'
'x+1/2,-y+1/2,-z+1/2'
'-x+1/2,y+1/2,z+1/2'
'-x,y+1/2,-z'
'x,-y+1/2,z'
loop_
_atom_site_label
_atom_site_type_symbol
_atom_site_fract_x
_atom_site_fract_y
_atom_site_fract_z
Rb1 Rb 0.1489 0.2500 0.0728
Be1 Be 0.1838 0.2500 0.7821
Nb1 Nb 0.0411 0.2500 0.3737
```

Results
ΔH_f (0 K) = 3.33 eV/f.u.
energy relative to the lowest polymorph listed for this composition = 0.729 eV per atom
density = 4.79 g cm⁻³
raw total energy = -45.74 eV per cell



The following is a DFT calculation (GGA-PBE) of an optimized crystal structure of RbBeNb.

The structure in CIF format:
```
data_RbBeNb
_symmetry_space_group_name_H-M 'P n m a'
_symmetry_Int_Tables_number 62
_cell_length_a 8.7677
_cell_length_b 3.5718
_cell_length_c 11.5517
_cell_angle_alpha 90.00
_cell_angle_beta 90.00
_cell_angle_gamma 90.00
loop_
_symmetry_equiv_pos_as_xyz
'x,y,z'
'-x,-y,-z'
'-x+1/2,-y,z+1/2'
'x+1/2,y,-z+1/2'
'x+1/2,-y+1/2,-z+1/2'
'-x+1/2,y+1/2,z+1/2'
'-x,y+1/2,-z'
'x,-y+1/2,z'
loop_
_atom_site_label
_atom_site_type_symbol
_atom_site_fract_x
_atom_site_fract_y
_atom_site_fract_z
Rb1 Rb 0.0401 0.2500 0.1715
Be1 Be 0.1893 0.7500 0.4127
Nb1 Nb 0.0911 0.2500 0.5409
```

Results
ΔH_f (0 K) = 2.94 eV/f.u.
energy relative to the lowest polymorph listed for this composition = 0.599 eV per atom
density = 3.44 g cm⁻³
raw total energy = -47.30 eV per cell



The following is a DFT calculation (GGA-PBE) of an optimized crystal structure of Rb2BeNb.

The structure in CIF format:
```
data_Rb2BeNb
_symmetry_space_group_name_H-M 'I -4 2 d'
_symmetry_Int_Tables_number 122
_symmetry_space_group_name_Hall 'I -4 2bw'
_cell_length_a 13.2897
_cell_length_b 13.2897
_cell_length_c 4.6030
_cell_angle_alpha 90.00
_cell_angle_beta 90.00
_cell_angle_gamma 90.00
loop_
_atom_site_label
_atom_site_type_symbol
_atom_site_fract_x
_atom_site_fract_y
_atom_site_fract_z
Rb1 Rb 0.0647 0.2500 0.1250
Be1 Be 0.0000 0.0000 0.0000
Nb1 Nb 0.0000 0.0000 0.5000
```

Results
ΔH_f (0 K) = 5.60 eV/f.u.
density = 2.23 g cm⁻³
raw total energy = -40.51 eV per cell